Entry 1:
First-principles (GGA-PBEsol) data for crystalline TcIr2Pt at its relaxed geometry, as listed in Alexandria.

Output
Its volume is 56.8 Å³ per cell. The value obtained for the calculated density is 19.8 g/cm3. The value obtained for the calculated formation energy is -0.083 eV per atom. As for the space group: No. 99. For the energy above the most stable polymorph in this dataset, the calculation gives 54 meV per atom.

Cell lengths 2.7017, 2.7017, 7.7861 Å; angles 90.00, 90.00, 90.00 degrees
Closest atoms and distances in Å follow each position.
Sites, in units of the cell vectors:
Ir1 0.5000 0.5000 0.2438  8 Ir 2.70-2.72, 4 Pt 2.79
Ir2 0.0000 0.0000 0.9956  4 Tc 2.67, 8 Ir 2.70-2.72
Pt1 0.0000 0.0000 0.5050  4 Pt 2.70, 4 Tc 2.73, 4 Ir 2.79
Tc1 0.5000 0.5000 0.7555  4 Ir 2.67, 4 Tc 2.70, 4 Pt 2.73

Entry 2:
First-principles (GGA-PBEsol) data for crystalline Be2CuTc at its relaxed geometry, as listed in Alexandria.

Output
Its volume is 40.9 Å³ per cell. The value obtained for the calculated density is 7.3 g/cm3. The value obtained for the calculated formation energy is -0.069 eV per atom. As for the space group: No. 47. For the energy above the most stable polymorph in this dataset, the calculation gives 0 meV per atom.

Cell lengths 2.5226, 2.9416, 5.5072 Å; angles 90.00, 90.00, 90.00 degrees
Closest atoms and distances in Å follow each position.
Sites, in units of the cell vectors:
Tc1 0.5000 0.5000 0.5000  8 Be 2.44, 2 Tc 2.52
Be1 0.0000 0.0000 0.7706  4 Cu 2.31, 4 Tc 2.44, 3 Be 2.52-2.53
Be2 0.0000 0.0000 0.2294  4 Cu 2.31, 4 Tc 2.44, 3 Be 2.52-2.53
Cu1 0.5000 0.5000 0.0000  8 Be 2.31, 2 Cu 2.52

Entry 3:
First-principles (GGA-PBEsol) data for crystalline AlSnAs2 at its relaxed geometry, as listed in Alexandria.

Output
Its volume is 214.3 Å³ per cell. The value obtained for the calculated density is 4.6 g/cm3. The value obtained for the calculated formation energy is -0.081 eV per atom. As for the space group: No. 122.

Cell lengths 6.0443, 6.0443, 7.2579 Å; angles 114.61, 114.61, 90.00 degrees
Closest atoms and distances in Å follow each position.
Sites, in units of the cell vectors:
As1 0.8365 0.3750 0.2500  2 Al 2.46, 2 Sn 2.73
As2 0.6250 0.5865 0.7500  2 Al 2.46, 2 Sn 2.73
As3 0.4135 0.8750 0.2500  2 Al 2.46, 2 Sn 2.73
As4 0.1250 0.1635 0.7500  2 Al 2.46, 2 Sn 2.73
Sn1 0.2500 0.7500 0.5000  4 As 2.73
Sn2 0.0000 0.0000 0.0000  4 As 2.73
Al1 0.7500 0.2500 0.5000  4 As 2.46
Al2 0.5000 0.5000 0.0000  4 As 2.46

Entry 4:
First-principles (GGA-PBEsol) data for crystalline CuAs4H10O16 at its relaxed geometry, as listed in Alexandria.

Output
Its volume is 316.4 Å³ per cell. The value obtained for the calculated density is 3.3 g/cm3. As for the space group: No. 2. As for the total energy: -5.624 eV per atom.

Cell lengths 5.3500, 7.5246, 8.3806 Å; angles 107.41, 98.69, 93.12 degrees
Closest atoms and distances in Å follow each position.
Sites, in units of the cell vectors:
H1 0.6800 0.7232 0.0746  1 O 1.03
H2 0.4172 0.4645 0.3335  1 O 1.01
H3 0.0160 0.4032 0.2161  1 O 1.04
H4 0.1025 0.0993 0.4259  1 O 1.03
H5 0.4041 0.9624 0.2983  1 O 1.04
H6 0.5828 0.5355 0.6665  1 O 1.01
H7 0.9840 0.5968 0.7839  1 O 1.04
H8 0.3200 0.2768 0.9254  1 O 1.03
H9 0.8975 0.9007 0.5741  1 O 1.03
H10 0.5959 0.0376 0.7017  1 O 1.04
O1 0.8720 0.0904 0.7126  2 H 1.49-1.58
O2 0.8631 0.2129 0.1359  1 H 1.52
O3 0.3253 0.1512 0.0440  1 H 1.56, 1 As 1.71
O4 0.1369 0.7871 0.8641  1 H 1.52
O5 0.8943 0.7611 0.5064  1 H 1.03
O6 0.5868 0.0252 0.3083  1 H 1.04
O7 0.5812 0.4069 0.3539  1 H 1.01
O8 0.1280 0.9096 0.2874  2 H 1.49-1.58
O9 0.4188 0.5931 0.6461  1 H 1.01
O10 0.4132 0.9748 0.6917  1 H 1.04
O11 0.1365 0.5275 0.2709  1 H 1.04
O12 0.6747 0.8488 0.9560  1 H 1.56, 1 As 1.71
O13 0.1057 0.2389 0.4936  1 H 1.03
O14 0.8635 0.4725 0.7291  1 H 1.04
O15 0.6942 0.6412 0.1532  1 H 1.03
O16 0.3058 0.3588 0.8468  1 H 1.03
As1 0.9643 0.7201 0.3057  4 O 1.69-1.73
As2 0.4184 0.8082 0.7954  4 O 1.71-1.73
As3 0.5816 0.1918 0.2046  4 O 1.71-1.73
As4 0.0357 0.2799 0.6943  4 O 1.69-1.73
Cu1 0.0000 0.0000 0.0000  4 O 1.92-1.95